Zr3Ag | meta-GGA SCAN | PBEsol geometry

Calculated values
- ΔH_f (0 K) (eV/atom) = -0.027
- total magnetization (μB per atom) = 0.00
- density (g cm⁻³) = 7.7
- space-group type = Imm2, No. 44

abc: 3.1451 9.8741 5.3246
angles: 90.00 90.00 90.00
With the nearest neighbours (Å) after each atom.
Sites, in units of the cell vectors:
Zr (0.0000, 0.0000, 0.0000)  2 Ag 2.90, 8 Zr 3.09-3.15
Zr (0.0000, 0.2310, 0.3911)  2 Ag 2.89, 9 Zr 3.09-3.15
Zr (0.0000, 0.7690, 0.3911)  2 Ag 2.89, 9 Zr 3.09-3.15
Zr (0.5000, 0.2690, 0.8911)  2 Ag 2.89, 9 Zr 3.09-3.15
Zr (0.5000, 0.5000, 0.5000)  2 Ag 2.90, 8 Zr 3.09-3.15
Zr (0.5000, 0.7310, 0.8911)  2 Ag 2.89, 9 Zr 3.09-3.15
Ag (0.0000, 0.5000, 0.0422)  6 Zr 2.89-2.90, 2 Ag 3.15
Ag (0.5000, 0.0000, 0.5422)  6 Zr 2.89-2.90, 2 Ag 3.15